## GaRhAuCl2 (GGA-PBE)

Data for a geometry-optimized GaRhAuCl2 structure.

Values from the calculation:
- density of states at the Fermi level (states/eV per cell) = 3.9
- crystal system = tetragonal
- E (eV/atom) = -3.47
- energy relative to the elements, uncorrected (eV per atom) = 0.00

a b c (Å): 4.7148 4.7148 5.3182
angles (deg): 90.00 90.00 90.00
Space group P4/mmm (No. 123)
Symmetry-distinct sites (fractional):
1 Ga 0.0000 0.0000 0.0000
2 Rh 0.5000 0.5000 0.5000
3 Au 0.5000 0.5000 0.0000
4 Cl 0.0000 0.5000 0.5000


## Tb6PuIn5 (GGA-PBE)

Data for a geometry-optimized Tb6PuIn5 structure.

Values from the calculation:
- density of states at the Fermi level (states/eV per cell) = 28.7
- crystal system = orthorhombic
- E (eV/atom) = -5.01

a b c (Å): 5.1914 8.0791 15.6618
angles (deg): 90.00 90.00 90.00
Space group Immm (No. 71)
Symmetry-distinct sites (fractional):
1 Tb 0.0000 0.2356 0.0000
2 Tb 0.0000 0.2535 0.3327
3 Pu 0.0000 0.0000 0.5000
4 In 0.0000 0.0000 0.1706
5 In 0.0000 0.5000 0.1556
6 In 0.0000 0.5000 0.5000


- Among the records above, which one has the highest density of states at the Fermi level?
  Tb6PuIn5